The following is a PBE with a Hubbard U calculation of a geometry-optimized FeSbClF2 structure, from Alexandria.

Cell lengths 4.005, 4.005, 6.184 Å; angles 90.00, 90.00, 90.00 degrees
Positions (direct):
Fe  0.000  0.000  0.000
Sb  0.000  0.000  0.500
Cl  0.500  0.500  0.500
F  0.000  0.500  0.000
F  0.500  0.000  0.000

Symmetry: P4/mmm (123)
E_tot (eV per cell): -21.74